Computed, not measured: a geometry-optimized AcPr2Ag6 structure at the PBE level of DFT.

Calculated values
Magnetic moment ... 0.00 μB/atom
Density of states at the Fermi level ... 7.150 states/eV/f.u.
ΔE to the lowest computed polymorph ... 0 meV per atom
Calculated formation energy ... -0.2630 eV/atom

a b c (Å): 8.4132 8.4132 3.7120
angles (deg): 90.00 90.00 120.00
Last column: nearest neighbours and their distance in Å.
Fractional coordinates of all 9 atoms:
Ac 0.0000 0.0000 0.0000  12 Ag 3.38, 2 Ac 3.71
Pr 0.3333 0.6667 0.0000  12 Ag 3.35, 2 Pr 3.71
Pr 0.6667 0.3333 0.0000  12 Ag 3.35, 2 Pr 3.71
Ag 0.0000 0.3358 0.5000  3 Ag 2.76-2.82
Ag 0.0000 0.6642 0.5000  3 Ag 2.76-2.82
Ag 0.3358 0.0000 0.5000  3 Ag 2.76-2.82
Ag 0.3358 0.3358 0.5000  3 Ag 2.76-2.82
Ag 0.6642 0.0000 0.5000  3 Ag 2.76-2.82
Ag 0.6642 0.6642 0.5000  3 Ag 2.76-2.82

---

Computed, not measured: a geometry-optimized Ac2PrAg2 structure at the PBE level of DFT.

Calculated values
Magnetic moment ... 0.00 μB/atom
Density of states at the Fermi level ... 6.405 states/eV/f.u.
ΔE to the lowest computed polymorph ... 90 meV per atom
Calculated formation energy ... -0.0182 eV/atom

a b c (Å): 8.9976 8.9976 6.0745
angles (deg): 90.00 90.00 136.23
Last column: nearest neighbours and their distance in Å.
Fractional coordinates of all 10 atoms:
Ac 0.0826 0.9174 0.7500  6 Ag 3.48-3.81
Ac 0.2919 0.7081 0.2500  2 Ag 3.17
Ac 0.7081 0.2919 0.7500  2 Ag 3.17
Ac 0.9174 0.0826 0.2500  6 Ag 3.48-3.81
Pr 0.5000 0.5000 0.0000  2 Pr 3.04, 4 Ag 3.17
Pr 0.5000 0.5000 0.5000  2 Pr 3.04, 4 Ag 3.17
Ag 0.1039 0.3564 0.7500  1 Ag 3.09, 2 Pr 3.17, 1 Ac 3.17
Ag 0.3564 0.1039 0.2500  1 Ag 3.09, 2 Pr 3.17, 1 Ac 3.17
Ag 0.6436 0.8961 0.7500  1 Ag 3.09, 2 Pr 3.17, 1 Ac 3.17
Ag 0.8961 0.6436 0.2500  1 Ag 3.09, 2 Pr 3.17, 1 Ac 3.17

---

Computed, not measured: a geometry-optimized AcPr2Ag structure at the PBE level of DFT.

Calculated values
Magnetic moment ... 0.00 μB/atom
Density of states at the Fermi level ... 6.488 states/eV/f.u.
ΔE to the lowest computed polymorph ... 243 meV per atom
Calculated formation energy ... 0.1407 eV/atom

a b c (Å): 8.0757 8.0757 8.0757
angles (deg): 90.00 90.00 90.00
Last column: nearest neighbours and their distance in Å.
Fractional coordinates of all 16 atoms:
Ac 0.0000 0.0000 0.0000  8 Pr 3.50
Ac 0.0000 0.5000 0.5000  8 Pr 3.50
Ac 0.5000 0.0000 0.5000  8 Pr 3.50
Ac 0.5000 0.5000 0.0000  8 Pr 3.50
Pr 0.2500 0.2500 0.2500  4 Ac 3.50, 4 Ag 3.50
Pr 0.2500 0.2500 0.7500  4 Ac 3.50, 4 Ag 3.50
Pr 0.2500 0.7500 0.2500  4 Ac 3.50, 4 Ag 3.50
Pr 0.2500 0.7500 0.7500  4 Ac 3.50, 4 Ag 3.50
Pr 0.7500 0.2500 0.2500  4 Ac 3.50, 4 Ag 3.50
Pr 0.7500 0.2500 0.7500  4 Ac 3.50, 4 Ag 3.50
Pr 0.7500 0.7500 0.2500  4 Ac 3.50, 4 Ag 3.50
Pr 0.7500 0.7500 0.7500  4 Ag 3.50, 4 Ac 3.50
Ag 0.0000 0.0000 0.5000  8 Pr 3.50
Ag 0.0000 0.5000 0.0000  8 Pr 3.50
Ag 0.5000 0.0000 0.0000  8 Pr 3.50
Ag 0.5000 0.5000 0.5000  8 Pr 3.50

---

Computed, not measured: a geometry-optimized AcPr2Ag structure at the PBE level of DFT.

Calculated values
Magnetic moment ... 0.00 μB/atom
Density of states at the Fermi level ... 5.867 states/eV/f.u.
ΔE to the lowest computed polymorph ... 0 meV per atom
Calculated formation energy ... -0.1022 eV/atom

a b c (Å): 3.8412 3.8412 9.0052
angles (deg): 90.00 90.00 90.00
Last column: nearest neighbours and their distance in Å.
Fractional coordinates of all 4 atoms:
Ac 0.0000 0.0000 0.0000  8 Pr 3.80, 4 Ac 3.84
Pr 0.5000 0.5000 0.2949  4 Ag 3.28
Pr 0.5000 0.5000 0.7051  4 Ag 3.28
Ag 0.0000 0.0000 0.5000  8 Pr 3.28

---

Computed, not measured: a geometry-optimized AcPr5Ag6 structure at the PBE level of DFT.

Calculated values
Magnetic moment ... 0.00 μB/atom
Density of states at the Fermi level ... 11.617 states/eV/f.u.
Calculated formation energy ... -0.2414 eV/atom

a b c (Å): 5.4295 7.5391 8.5564
angles (deg): 90.00 107.89 90.00
Last column: nearest neighbours and their distance in Å.
Fractional coordinates of all 12 atoms:
Ac 0.0000 0.0000 0.0000  8 Ag 3.36-3.38
Pr 0.0000 0.5000 0.0000  8 Ag 3.25-3.33
Pr 0.3329 0.0000 0.6647  8 Ag 3.26-3.37
Pr 0.3339 0.5000 0.6674  8 Ag 3.24-3.29
Pr 0.6661 0.5000 0.3326  8 Ag 3.24-3.29
Pr 0.6671 0.0000 0.3353  8 Ag 3.26-3.37
Ag 0.1695 0.2550 0.3408  7 Pr 3.24-3.33, 1 Ac 3.38
Ag 0.1695 0.7450 0.3408  7 Pr 3.24-3.33, 1 Ac 3.38
Ag 0.5000 0.2621 0.0000  6 Pr 3.25-3.37, 2 Ac 3.36, 1 Ag 3.59
Ag 0.5000 0.7379 0.0000  6 Pr 3.25-3.37, 2 Ac 3.36, 1 Ag 3.59
Ag 0.8305 0.2550 0.6592  7 Pr 3.24-3.33, 1 Ac 3.38
Ag 0.8305 0.7450 0.6592  7 Pr 3.24-3.33, 1 Ac 3.38

---

Computed, not measured: a geometry-optimized Ac2PrAg5 structure at the PBE level of DFT.

Calculated values
Magnetic moment ... 0.00 μB/atom
Density of states at the Fermi level ... 6.470 states/eV/f.u.
Calculated formation energy ... -0.1786 eV/atom

a b c (Å): 5.4122 5.4122 14.7580
angles (deg): 90.00 90.00 90.00
Last column: nearest neighbours and their distance in Å.
Fractional coordinates of all 16 atoms:
Ac 0.0000 0.0000 0.2268  5 Ag 3.24-3.35
Ac 0.0000 0.0000 0.7732  5 Ag 3.24-3.35
Ac 0.5000 0.5000 0.2732  5 Ag 3.24-3.35
Ac 0.5000 0.5000 0.7268  5 Ag 3.24-3.35
Pr 0.0000 0.0000 0.5000  8 Ag 3.13
Pr 0.5000 0.5000 0.0000  8 Ag 3.13
Ag 0.0000 0.0000 0.0000  8 Ag 3.13, 2 Ac 3.35
Ag 0.0000 0.5000 0.1064  2 Pr 3.13, 3 Ag 3.13-3.14, 2 Ac 3.24
Ag 0.0000 0.5000 0.3936  2 Pr 3.13, 3 Ag 3.13-3.14, 2 Ac 3.24
Ag 0.0000 0.5000 0.6064  2 Pr 3.13, 3 Ag 3.13-3.14, 2 Ac 3.24
Ag 0.0000 0.5000 0.8936  2 Pr 3.13, 3 Ag 3.13-3.14, 2 Ac 3.24
Ag 0.5000 0.0000 0.1064  2 Pr 3.13, 3 Ag 3.13-3.14, 2 Ac 3.24
Ag 0.5000 0.0000 0.3936  2 Pr 3.13, 3 Ag 3.13-3.14, 2 Ac 3.24
Ag 0.5000 0.0000 0.6064  2 Pr 3.13, 3 Ag 3.13-3.14, 2 Ac 3.24
Ag 0.5000 0.0000 0.8936  2 Pr 3.13, 3 Ag 3.13-3.14, 2 Ac 3.24
Ag 0.5000 0.5000 0.5000  8 Ag 3.13, 2 Ac 3.35

---

Computed, not measured: a geometry-optimized Ac3PrAg4 structure at the PBE level of DFT.

Calculated values
Magnetic moment ... 0.00 μB/atom
Density of states at the Fermi level ... 6.010 states/eV/f.u.
Calculated formation energy ... -0.2549 eV/atom

a b c (Å): 3.9250 3.9250 15.6060
angles (deg): 90.00 90.00 90.00
Last column: nearest neighbours and their distance in Å.
Fractional coordinates of all 8 atoms:
Ac 0.0000 0.0000 0.0000  8 Ag 3.42
Ac 0.0000 0.0000 0.2552  8 Ag 3.41-3.47, 1 Pr 3.82
Ac 0.0000 0.0000 0.7448  8 Ag 3.41-3.47, 1 Pr 3.82
Pr 0.0000 0.0000 0.5000  8 Ag 3.27
Ag 0.5000 0.5000 0.1279  8 Ac 3.41-3.42
Ag 0.5000 0.5000 0.3886  4 Pr 3.27, 4 Ac 3.47, 1 Ag 3.48
Ag 0.5000 0.5000 0.6114  4 Pr 3.27, 4 Ac 3.47, 1 Ag 3.48
Ag 0.5000 0.5000 0.8721  8 Ac 3.41-3.42

---

Computed, not measured: a geometry-optimized Ac3Pr4Ag4 structure at the PBE level of DFT.

Calculated values
Magnetic moment ... 0.00 μB/atom
Density of states at the Fermi level ... 12.389 states/eV/f.u.
Calculated formation energy ... -0.1112 eV/atom

a b c (Å): 9.6791 9.6791 9.6791
angles (deg): 148.41 130.61 59.82
Last column: nearest neighbours and their distance in Å.
Fractional coordinates of all 11 atoms:
Ac 0.0000 0.0000 0.0000  6 Ag 3.41-3.69
Ac 0.3918 0.8918 0.5000  4 Ag 3.52, 1 Ac 3.63, 4 Pr 3.67
Ac 0.6082 0.1082 0.5000  4 Ag 3.52, 1 Ac 3.63, 4 Pr 3.67
Pr 0.0419 0.3251 0.7167  4 Ag 3.05-3.20
Pr 0.3916 0.6749 0.7167  4 Ag 3.05-3.20
Pr 0.6084 0.3251 0.2833  4 Ag 3.05-3.20
Pr 0.9581 0.6749 0.2833  4 Ag 3.05-3.20
Ag 0.2031 0.2031 0.0000  6 Pr 3.07-3.20, 1 Ac 3.41
Ag 0.3197 0.5000 0.8197  1 Ag 2.92, 2 Pr 3.05
Ag 0.6803 0.5000 0.1803  1 Ag 2.92, 2 Pr 3.05
Ag 0.7969 0.7969 0.0000  6 Pr 3.07-3.20, 1 Ac 3.41

---

Computed, not measured: a geometry-optimized AcPr3Ag structure at the PBE level of DFT.

Calculated values
Magnetic moment ... 0.00 μB/atom
Density of states at the Fermi level ... 6.506 states/eV/f.u.
Calculated formation energy ... 0.0251 eV/atom

a b c (Å): 7.6385 7.6385 8.4717
angles (deg): 119.60 119.60 68.92
Last column: nearest neighbours and their distance in Å.
Fractional coordinates of all 10 atoms:
Ac 0.0435 0.0435 0.2858  1 Ag 3.28
Ac 0.9565 0.9565 0.7142  1 Ag 3.28
Pr 0.1198 0.5202 0.2921  2 Ag 3.04-3.19
Pr 0.4155 0.4155 0.7272  2 Ag 3.13-3.18
Pr 0.4798 0.8802 0.7079  2 Ag 3.04-3.19
Pr 0.5202 0.1198 0.2921  2 Ag 3.04-3.19
Pr 0.5845 0.5845 0.2728  2 Ag 3.13-3.18
Pr 0.8802 0.4798 0.7079  2 Ag 3.04-3.19
Ag 0.2777 0.2777 0.9415  6 Pr 3.04-3.19, 1 Ac 3.28
Ag 0.7223 0.7223 0.0585  6 Pr 3.04-3.19, 1 Ac 3.28

---

Computed, not measured: a geometry-optimized AcPrAg6 structure at the PBE level of DFT.

Calculated values
Magnetic moment ... 0.00 μB/atom
Density of states at the Fermi level ... 5.183 states/eV/f.u.
Calculated formation energy ... -0.1756 eV/atom

a b c (Å): 4.9104 6.8409 11.4742
angles (deg): 90.00 90.00 90.00
Last column: nearest neighbours and their distance in Å.
Fractional coordinates of all 16 atoms:
Ac 0.0000 0.0000 0.0000  12 Ag 3.31-3.42
Ac 0.0000 0.5000 0.5000  12 Ag 3.31-3.42
Pr 0.5000 0.0000 0.6778  12 Ag 3.25-3.43
Pr 0.5000 0.5000 0.1778  12 Ag 3.25-3.43
Ag 0.0000 0.0000 0.4921  6 Ag 2.98-3.02, 2 Pr 3.25
Ag 0.0000 0.2177 0.2627  6 Ag 2.98-3.02, 2 Pr 3.27
Ag 0.0000 0.2823 0.7627  6 Ag 2.98-3.02, 2 Pr 3.27
Ag 0.0000 0.5000 0.9921  6 Ag 2.98-3.02, 2 Pr 3.25
Ag 0.0000 0.7177 0.7627  6 Ag 2.98-3.02, 2 Pr 3.27
Ag 0.0000 0.7823 0.2627  6 Ag 2.98-3.02, 2 Pr 3.27
Ag 0.5000 0.0000 0.1939  6 Ag 2.88-2.98
Ag 0.5000 0.2087 0.4122  6 Ag 2.86-3.00
Ag 0.5000 0.2913 0.9122  6 Ag 2.86-3.00
Ag 0.5000 0.5000 0.6939  6 Ag 2.88-2.98
Ag 0.5000 0.7087 0.9122  6 Ag 2.86-3.00
Ag 0.5000 0.7913 0.4122  6 Ag 2.86-3.00

---

Computed, not measured: a geometry-optimized AcPr2Ag structure at the PBE level of DFT.

Calculated values
Magnetic moment ... 0.00 μB/atom
Density of states at the Fermi level ... 5.303 states/eV/f.u.
ΔE to the lowest computed polymorph ... 165 meV per atom
Calculated formation energy ... 0.0632 eV/atom

a b c (Å): 5.8507 5.8507 3.8293
angles (deg): 90.00 90.00 90.00
Last column: nearest neighbours and their distance in Å.
Fractional coordinates of all 4 atoms:
Ac 0.0000 0.0000 0.0000  8 Pr 3.50, 2 Ac 3.83
Pr 0.0000 0.5000 0.5000  4 Ac 3.50, 4 Ag 3.50, 2 Pr 3.83
Pr 0.5000 0.0000 0.5000  4 Ac 3.50, 4 Ag 3.50, 2 Pr 3.83
Ag 0.5000 0.5000 0.0000  8 Pr 3.50, 2 Ag 3.83

---

Computed, not measured: a geometry-optimized Ac2PrAg9 structure at the PBE level of DFT.

Calculated values
Magnetic moment ... 0.00 μB/atom
Density of states at the Fermi level ... 8.656 states/eV/f.u.
Calculated formation energy ... -0.1537 eV/atom

a b c (Å): 10.1245 10.1245 10.1245
angles (deg): 33.41 33.41 33.41
Last column: nearest neighbours and their distance in Å.
Fractional coordinates of all 12 atoms:
Ac 0.1396 0.1396 0.1396  12 Ag 3.36-3.64, 3 Ac 3.70
Ac 0.8604 0.8604 0.8604  12 Ag 3.36-3.64, 3 Ac 3.70
Pr 0.0000 0.0000 0.0000  18 Ag 3.36-3.73
Ag 0.0809 0.5813 0.5813  7 Ag 2.85-2.97
Ag 0.3328 0.3328 0.3328  6 Ag 2.85-2.88
Ag 0.4187 0.4187 0.9191  7 Ag 2.85-2.97
Ag 0.4187 0.9191 0.4187  7 Ag 2.85-2.97
Ag 0.5000 0.5000 0.5000  6 Ag 2.97
Ag 0.5813 0.0809 0.5813  7 Ag 2.85-2.97
Ag 0.5813 0.5813 0.0809  7 Ag 2.85-2.97
Ag 0.6672 0.6672 0.6672  6 Ag 2.85-2.88
Ag 0.9191 0.4187 0.4187  7 Ag 2.85-2.97

---

What did the fifth record say?
Computed, not measured: a geometry-optimized AcPr5Ag6 structure at the PBE level of DFT.

Calculated values
Magnetic moment ... 0.00 μB/atom
Density of states at the Fermi level ... 11.617 states/eV/f.u.
Calculated formation energy ... -0.2414 eV/atom

a b c (Å): 5.4295 7.5391 8.5564
angles (deg): 90.00 107.89 90.00
Last column: nearest neighbours and their distance in Å.
Fractional coordinates of all 12 atoms:
Ac 0.0000 0.0000 0.0000  8 Ag 3.36-3.38
Pr 0.0000 0.5000 0.0000  8 Ag 3.25-3.33
Pr 0.3329 0.0000 0.6647  8 Ag 3.26-3.37
Pr 0.3339 0.5000 0.6674  8 Ag 3.24-3.29
Pr 0.6661 0.5000 0.3326  8 Ag 3.24-3.29
Pr 0.6671 0.0000 0.3353  8 Ag 3.26-3.37
Ag 0.1695 0.2550 0.3408  7 Pr 3.24-3.33, 1 Ac 3.38
Ag 0.1695 0.7450 0.3408  7 Pr 3.24-3.33, 1 Ac 3.38
Ag 0.5000 0.2621 0.0000  6 Pr 3.25-3.37, 2 Ac 3.36, 1 Ag 3.59
Ag 0.5000 0.7379 0.0000  6 Pr 3.25-3.37, 2 Ac 3.36, 1 Ag 3.59
Ag 0.8305 0.2550 0.6592  7 Pr 3.24-3.33, 1 Ac 3.38
Ag 0.8305 0.7450 0.6592  7 Pr 3.24-3.33, 1 Ac 3.38